[1]
Here is a geometry-optimized TlNiPt2F structure from the Alexandria database. Energies are from PBE+U.

Results
The space group is P4/mmm.

```
TlNiPt2F
1.0
4.311 0.000 0.000
0.000 4.786 0.000
0.000 0.000 4.311
Tl Pt F Ni
1 2 1 1
Cartesian
0.000 2.393 0.000
2.156 0.000 0.000
0.000 0.000 2.156
0.000 0.000 0.000
2.156 2.393 2.156
```

=====

[2]
Here is a geometry-optimized PuNiF6 structure from the Alexandria database. Energies are from PBE+U.

Results
The space group is C2/m.

```
PuNiF6
1.0
5.261 -0.074 0.000
1.225 5.204 0.000
0.613 2.602 4.217
F Ni Pu
6 1 1
Cartesian
5.012 3.780 0.000
4.199 1.094 1.308
1.475 1.350 0.000
2.288 4.035 1.308
4.811 3.696 2.909
2.900 6.637 2.909
0.000 0.000 0.000
3.243 2.565 0.000
```

=====

[3]
Here is a geometry-optimized PuNi2F11 structure from the Alexandria database. Energies are from PBE+U.

Results
The space group is Ibam.

```
PuNi2F11
1.0
7.500 0.000 3.909
3.283 6.691 2.850
0.627 0.373 7.946
F Ni Pu
22 4 2
Cartesian
0.000 0.000 0.000
1.445 1.269 5.235
2.439 1.506 7.728
6.452 5.691 11.309
6.564 2.399 8.962
7.581 4.905 9.141
4.846 4.665 5.743
3.952 2.636 9.575
8.577 2.946 7.232
3.460 3.837 3.651
6.464 6.386 7.038
9.865 6.477 12.282
8.972 5.558 6.977
5.705 3.532 7.352
3.829 2.159 5.563
7.950 3.227 11.053
7.459 4.428 5.130
4.959 1.373 3.396
4.947 0.678 7.666
2.834 4.118 7.473
1.546 0.586 2.423
9.965 5.795 9.469
7.326 1.427 10.356
4.084 5.636 4.349
7.393 4.586 7.151
4.018 2.478 7.554
2.853 1.766 3.676
8.558 5.298 11.029
```

=====

[4]
Here is a geometry-optimized Pu2NiF11 structure from the Alexandria database. Energies are from PBE+U.

Results
The space group is C2/c.

```
Pu2NiF11
1.0
-3.953 -3.367 -7.161
-6.551 -4.592 0.312
-6.445 4.065 -3.817
F Pu Ni
22 4 2
Cartesian
-3.289 -0.709 -3.956
-12.326 -5.084 -8.176
-11.993 -0.465 -5.935
-4.956 -3.429 -4.731
-8.474 -1.947 -5.333
-8.328 -3.629 -7.293
-8.621 -0.265 -3.373
-2.079 0.037 -1.540
-7.791 -3.398 -3.419
-5.650 -1.633 -2.218
-4.623 1.190 -2.490
-10.815 -3.148 -5.325
-14.870 -3.931 -9.126
-7.362 -5.426 -5.292
-13.660 -3.185 -6.710
-6.925 1.623 -4.012
-10.398 0.698 -10.978
-6.134 -0.747 -5.341
-10.024 -5.517 -6.654
-9.587 1.532 -5.374
-9.158 -0.496 -7.247
-11.299 -2.261 -8.448
-7.891 0.236 -5.361
-9.058 -4.130 -5.305
-6.923 -3.223 -1.447
-10.026 -0.671 -9.219
-3.879 -0.669 -2.018
-13.070 -3.226 -8.648
```

=====

[5]
Here is a geometry-optimized RbPuNiF6 structure from the Alexandria database. Energies are from PBE+U.

Results
The space group is Imma.

```
RbPuNiF6
1.0
-0.122 7.260 1.455
-5.315 1.050 -5.685
-1.070 -4.900 5.519
F Pu Rb Ni
12 2 2 2
Cartesian
-5.332 4.165 -2.382
-2.288 3.715 0.114
-0.627 5.357 2.272
-5.879 -1.948 -0.983
-5.945 1.986 -0.195
-3.967 6.017 -1.300
-2.540 -2.608 2.589
-1.174 -0.755 3.671
-4.218 -0.306 1.175
-2.605 1.326 3.377
-3.901 2.083 -2.088
-0.561 1.423 1.484
-0.061 3.630 0.727
-2.718 4.155 -2.115
-1.966 0.137 -0.848
-4.540 3.272 2.138
-0.596 1.180 3.487
-0.535 -2.450 2.760
```

=====

[6]
Here is a geometry-optimized PuTl2Ni3F12 structure from the Alexandria database. Energies are from PBE+U.

Results
The space group is R-3m.

```
PuTl2Ni3F12
1.0
7.829 0.277 0.196
4.107 6.671 0.196
4.107 2.391 6.231
Pu Tl F Ni
1 2 12 3
Cartesian
0.000 0.000 0.000
6.643 3.867 2.743
9.400 5.472 3.881
12.409 4.725 5.998
7.531 4.384 5.810
10.237 8.457 5.998
8.512 2.406 4.407
5.806 0.881 0.625
7.531 6.932 2.217
12.409 7.223 2.477
6.296 6.213 4.407
3.633 4.613 0.625
8.512 4.954 0.814
3.633 2.115 4.147
9.747 3.125 2.217
2.054 3.335 0.098
2.054 1.195 3.115
3.914 0.138 0.098
```

=====

[7]
Here is a geometry-optimized RbNiF structure from the Alexandria database. Energies are from PBE+U.

Results
The space group is P1.

```
RbNiF
1.0
-3.618 -6.842 -1.441
3.835 0.067 -2.633
0.305 -1.111 4.439
F Rb Ni
2 2 2
Cartesian
2.303 -0.913 0.102
-2.115 -5.119 1.731
1.142 -1.102 2.503
0.489 -5.611 1.415
2.044 -2.981 -0.382
-0.612 -2.639 -0.106
```

=====

[8]
Here is a geometry-optimized RbNiF structure from the Alexandria database. Energies are from PBE+U.

Results
The space group is P4/nmm.

```
RbNiF
1.0
4.283 0.000 0.000
0.000 4.283 0.000
0.000 0.000 9.378
F Rb Ni
2 2 2
Cartesian
2.141 2.141 4.689
0.000 0.000 4.689
0.000 2.141 1.940
2.141 0.000 7.438
2.141 0.000 4.236
0.000 2.141 5.142
```

=====

| no. | energy (eV per cell) | density (g/cm³) |
| --- | --- | --- |
| 1 | -14.5 | 12.550 |
| 2 | -51.4 | 5.973 |
| 3 | -140.3 | 4.997 |
| 4 | -187.7 | 5.845 |
| 5 | -111.2 | 5.572 |
| 6 | -93.0 | 5.636 |
| 7 | -17.0 | 3.936 |
| 8 | -14.9 | 3.150 |